[1]
Crystalline Cu2PPbS4 at its relaxed geometry. Source: Alexandria, functional PBE.

Space-group type: Pmn2_1
ρ (g/cm³): 4.76
Raw formation energy (meV per atom): -202
Final energy (eV per atom): -4.43
DOS(E_F) (states/eV per atom): 0.495

a b c (Å): 8.0901 5.9461 7.1519
angles (deg): 90.00 90.00 90.00
Closest atoms and distances in Å follow each position.
Fractional positions:
Cu: 0.2459 0.2185 0.0000  4 S 2.23-2.48
Cu: 0.2541 0.7815 0.5000  4 S 2.23-2.48
Cu: 0.7459 0.7815 0.5000  4 S 2.23-2.48
Cu: 0.7541 0.2185 0.0000  4 S 2.23-2.48
P: 0.0000 0.2549 0.5296  3 S 2.12-2.15
P: 0.5000 0.7451 0.0296  3 S 2.12-2.15
Pb: 0.0000 0.7464 0.9573  4 S 2.69-2.95
Pb: 0.5000 0.2536 0.4573  4 S 2.69-2.95
S: 0.0000 0.3295 0.1051  2 Cu 2.23
S: 0.0000 0.6141 0.5607  1 P 2.15, 2 Cu 2.33
S: 0.2061 0.1315 0.6805  1 P 2.12, 1 Cu 2.36
S: 0.2939 0.8685 0.1805  1 P 2.12, 1 Cu 2.36
S: 0.5000 0.3859 0.0607  1 P 2.15, 2 Cu 2.33
S: 0.5000 0.6705 0.6051  2 Cu 2.23
S: 0.7061 0.8685 0.1805  1 P 2.12, 1 Cu 2.36
S: 0.7939 0.1315 0.6805  1 P 2.12, 1 Cu 2.36

---

[2]
Crystalline SrLaTl at its relaxed geometry. Source: Alexandria, functional PBE.

Energy of formation (eV per atom): -0.2245
Space-group type: P-3m1
ρ (g/cm³): 6.27
Final energy (eV per atom): -3.22
DOS(E_F) (states/eV per atom): 0.391

a b c (Å): 5.4696 5.4696 8.8107
angles (deg): 90.00 90.00 120.00
Closest atoms and distances in Å follow each position.
Fractional positions:
Sr: 0.3333 0.6667 0.3624  3 Tl 3.50
Sr: 0.6667 0.3333 0.6376  3 Tl 3.50
La: 0.3333 0.6667 0.9073  3 Tl 3.27, 3 La 3.56
La: 0.6667 0.3333 0.0927  3 Tl 3.27, 3 La 3.56
Tl: 0.0000 0.0000 0.1910  3 La 3.27, 1 Tl 3.37, 3 Sr 3.50
Tl: 0.0000 0.0000 0.8090  3 La 3.27, 1 Tl 3.37, 3 Sr 3.50